Version 1
1
Lattice="1.302 0.752 1.957 -1.302 0.752 1.957 0.000 -1.504 1.957" Properties=species:S:1:pos:R:3 comment="Cu, optimized geometry, DFT PBE" spacegroup="R-3m, No. 166" pbc="T T T"
Cu 0.000 0.000 0.000

---

Version 2
2
Lattice="1.245 0.719 8.398 -1.245 0.719 8.398 0.000 -1.437 8.398" Properties=species:S:1:pos:R:3 comment="Cu, optimized geometry, DFT PBE" spacegroup="R-3m, No. 166" pbc="T T T"
Cu 0.000 0.000 5.250
Cu 0.000 0.000 19.943

---

version 1 (38.3 kJ/mol of atoms below the next structure)

---

Version 1
12
Lattice="9.878 -2.058 0.000 9.878 2.058 0.000 -7.198 0.000 10.053" Properties=species:S:1:pos:R:3 comment="LaSmI2BrN, optimized geometry, DFT PBE" spacegroup="C2/m, No. 12" pbc="T T T"
La 0.625 0.000 2.861
La 11.932 0.000 7.193
Sm 8.195 0.000 0.387
Sm 4.362 0.000 9.666
I -4.548 0.000 7.433
I 3.486 0.000 1.246
I 9.071 0.000 8.807
I 17.105 0.000 2.620
Br 2.928 0.000 4.984
Br 9.629 0.000 5.070
N 2.335 0.000 8.546
N 10.222 0.000 1.507

---

Version 2
12
Lattice="9.398 -2.050 0.000 9.398 2.050 0.000 -6.474 0.000 10.150" Properties=species:S:1:pos:R:3 comment="LaSmI2BrN, optimized geometry, DFT PBE" spacegroup="C2/m, No. 12" pbc="T T T"
La -1.498 0.000 4.665
La 13.819 0.000 5.485
Sm 5.520 0.000 2.262
Sm 6.801 0.000 7.888
I 3.002 0.000 0.168
I 3.560 0.000 7.836
I 8.761 0.000 2.314
I 9.319 0.000 9.982
Br 2.922 0.000 3.829
Br 9.400 0.000 6.321
N -2.892 0.000 6.592
N 15.213 0.000 3.558

---

version 1 (2.8 kJ/mol of atoms below the next structure)

---

Version 1
9
Lattice="4.761 -1.397 0.000 4.761 1.397 0.000 -3.944 0.000 9.887" Properties=species:S:1:pos:R:3 comment="Cu5Ag4, optimized geometry, DFT PBE" spacegroup="C2/m, No. 12" pbc="T T T"
Cu 0.000 0.000 0.000
Cu 1.176 0.000 4.193
Cu 0.261 0.000 7.755
Cu 5.317 0.000 2.132
Cu 4.401 0.000 5.695
Ag -1.390 0.000 3.569
Ag 2.691 0.000 1.188
Ag 2.886 0.000 8.699
Ag 6.967 0.000 6.318

---

Version 2
9
Lattice="-1.407 4.270 5.450 1.407 -4.270 5.450 1.407 4.270 -5.450" Properties=species:S:1:pos:R:3 comment="Cu5Ag4, optimized geometry, DFT PBE" spacegroup="Imm2, No. 44" pbc="T T T"
Cu 0.000 0.000 0.000
Cu 0.000 2.535 0.007
Cu 0.000 2.984 3.751
Cu 0.000 6.005 0.007
Cu 0.000 5.556 3.751
Ag 1.407 -1.420 1.976
Ag 1.407 1.420 1.976
Ag 0.000 0.000 4.041
Ag 0.000 0.000 7.141

---

version 2 (0.8 kJ/mol of atoms below the next structure)